Na2LiBiBr6: optimized geometry, GGA-PBE.

a = 8.3551 Å, b = 8.3551 Å, c = 8.3551 Å
α = 51.31°, β = 51.31°, γ = 51.31°
Atoms (fractional coordinates):
Na  0.0000  0.0000  0.0000
Na  0.4962  0.4962  0.4962
Li  0.8288  0.8288  0.8288
Bi  0.1763  0.1763  0.1763
Br  0.0732  0.7893  0.4201
Br  0.2270  0.5975  0.9032
Br  0.4201  0.0732  0.7893
Br  0.5975  0.9032  0.2270
Br  0.7893  0.4201  0.0732
Br  0.9032  0.2270  0.5975

Output
The calculation puts the energy relative to the lowest polymorph listed for this composition at 0.0 meV per atom.

=====

LiBi3Br2O4: optimized geometry, GGA-PBE.

a = 5.5655 Å, b = 7.0091 Å, c = 7.0091 Å
α = 46.77°, β = 90.00°, γ = 90.00°
Atoms (fractional coordinates):
Li  0.0000  0.0000  0.0000
Bi  0.0000  0.3627  0.3627
Bi  0.5000  0.5432  0.5432
Bi  0.5000  0.8656  0.8656
Br  0.0000  0.7183  0.7183
Br  0.5000  0.2074  0.2074
O  0.2524  0.2072  0.7008
O  0.2524  0.7008  0.2072
O  0.7476  0.2072  0.7008
O  0.7476  0.7008  0.2072

Output
The calculation puts the energy relative to the lowest polymorph listed for this composition at 3.8 meV per atom.

=====

LiBi3Br2O4: optimized geometry, GGA-PBE.

a = 7.0428 Å, b = 7.0428 Å, c = 11.0834 Å
α = 90.00°, β = 90.00°, γ = 133.52°
Atoms (fractional coordinates):
Li  0.2160  0.7840  0.7500
Li  0.7840  0.2160  0.2500
Bi  0.1494  0.8506  0.2500
Bi  0.3384  0.6616  0.0077
Bi  0.3384  0.6616  0.4923
Bi  0.6616  0.3384  0.5077
Bi  0.6616  0.3384  0.9923
Bi  0.8506  0.1494  0.7500
Br  0.0000  0.0000  0.0000
Br  0.0000  0.0000  0.5000
Br  0.4928  0.5072  0.7500
Br  0.5072  0.4928  0.2500
O  0.0051  0.4874  0.6235
O  0.0051  0.4874  0.8765
O  0.4874  0.0051  0.1235
O  0.4874  0.0051  0.3765
O  0.5126  0.9949  0.6235
O  0.5126  0.9949  0.8765
O  0.9949  0.5126  0.1235
O  0.9949  0.5126  0.3765

Output
The calculation puts the energy relative to the lowest polymorph listed for this composition at 0.0 meV per atom.

=====

LiBiPbBr6: optimized geometry, GGA-PBE.

a = 7.1987 Å, b = 7.1987 Å, c = 13.3555 Å
α = 90.00°, β = 90.00°, γ = 120.00°
Atoms (fractional coordinates):
Li  0.3333  0.6667  0.2500
Li  0.6667  0.3333  0.7500
Bi  0.3333  0.6667  0.7500
Bi  0.6667  0.3333  0.2500
Pb  0.0000  0.0000  0.0000
Pb  0.0000  0.0000  0.5000
Br  0.0123  0.3597  0.1293
Br  0.0123  0.6526  0.3707
Br  0.3474  0.3597  0.3707
Br  0.3474  0.9877  0.1293
Br  0.3597  0.0123  0.6293
Br  0.3597  0.3474  0.8707
Br  0.6403  0.6526  0.1293
Br  0.6403  0.9877  0.3707
Br  0.6526  0.0123  0.8707
Br  0.6526  0.6403  0.6293
Br  0.9877  0.3474  0.6293
Br  0.9877  0.6403  0.8707

=====

Li2BiPbBr8: optimized geometry, GGA-PBE.

a = 6.6808 Å, b = 6.8773 Å, c = 8.5578 Å
α = 89.99°, β = 89.99°, γ = 83.17°
Atoms (fractional coordinates):
Li  0.0011  0.0015  0.2409
Li  0.9989  0.9985  0.7591
Bi  0.5000  0.5000  0.0000
Pb  0.5000  0.5000  0.5000
Br  0.1857  0.8328  0.5000
Br  0.2064  0.8370  0.0000
Br  0.2820  0.3216  0.2445
Br  0.2822  0.3217  0.7556
Br  0.7178  0.6783  0.2444
Br  0.7180  0.6784  0.7555
Br  0.7936  0.1630  0.0000
Br  0.8143  0.1672  0.5000

=====

RbLi2BiBr6: optimized geometry, GGA-PBE.

a = 9.3185 Å, b = 9.3185 Å, c = 9.3185 Å
α = 44.60°, β = 44.60°, γ = 44.60°
Atoms (fractional coordinates):
Rb  0.0000  0.0000  0.0000
Li  0.1703  0.1703  0.1703
Li  0.8297  0.8297  0.8297
Bi  0.5000  0.5000  0.5000
Br  0.0943  0.7799  0.4386
Br  0.2201  0.5614  0.9057
Br  0.4386  0.0943  0.7799
Br  0.5614  0.9057  0.2201
Br  0.7799  0.4386  0.0943
Br  0.9057  0.2201  0.5614

=====

RbLiBiBr2: optimized geometry, GGA-PBE.

a = 5.9884 Å, b = 5.9884 Å, c = 7.0524 Å
α = 90.00°, β = 90.00°, γ = 90.00°
Atoms (fractional coordinates):
Rb  0.0000  0.0000  0.0000
Li  0.5000  0.5000  0.0000
Bi  0.0000  0.0000  0.5000
Br  0.0000  0.5000  0.5000
Br  0.5000  0.0000  0.5000

=====

LiBiRhBr2: optimized geometry, GGA-PBE.

a = 4.4960 Å, b = 4.4960 Å, c = 6.5717 Å
α = 90.00°, β = 90.00°, γ = 90.00°
Atoms (fractional coordinates):
Li  0.0000  0.0000  0.0000
Bi  0.0000  0.0000  0.5000
Rh  0.5000  0.5000  0.5000
Br  0.0000  0.5000  0.0000
Br  0.5000  0.0000  0.0000

=====

LiBi2RhBr: optimized geometry, GGA-PBE.

a = 5.1851 Å, b = 5.1851 Å, c = 5.3152 Å
α = 90.00°, β = 90.00°, γ = 90.00°
Atoms (fractional coordinates):
Li  0.0000  0.0000  0.0000
Bi  0.0000  0.5000  0.5000
Bi  0.5000  0.0000  0.5000
Rh  0.0000  0.0000  0.5000
Br  0.5000  0.5000  0.0000

=====

LiSnBiBr6: optimized geometry, GGA-PBE.

a = 7.1620 Å, b = 7.1620 Å, c = 13.2513 Å
α = 90.00°, β = 90.00°, γ = 120.00°
Atoms (fractional coordinates):
Li  0.3333  0.6667  0.2500
Li  0.6667  0.3333  0.7500
Sn  0.0000  0.0000  0.0000
Sn  0.0000  0.0000  0.5000
Bi  0.3333  0.6667  0.7500
Bi  0.6667  0.3333  0.2500
Br  0.0119  0.3549  0.1281
Br  0.0119  0.6571  0.3719
Br  0.3429  0.3549  0.3719
Br  0.3429  0.9881  0.1281
Br  0.3549  0.0119  0.6281
Br  0.3549  0.3429  0.8719
Br  0.6451  0.6571  0.1281
Br  0.6451  0.9881  0.3719
Br  0.6571  0.0119  0.8719
Br  0.6571  0.6451  0.6281
Br  0.9881  0.3429  0.6281
Br  0.9881  0.6451  0.8719

=====

Li2TlBiBr6: optimized geometry, GGA-PBE.

a = 8.9858 Å, b = 8.9858 Å, c = 8.9858 Å
α = 46.28°, β = 46.28°, γ = 46.28°
Atoms (fractional coordinates):
Li  0.1700  0.1700  0.1700
Li  0.8300  0.8300  0.8300
Tl  0.0000  0.0000  0.0000
Bi  0.5000  0.5000  0.5000
Br  0.0912  0.4355  0.7770
Br  0.2230  0.9088  0.5645
Br  0.4355  0.7770  0.0912
Br  0.5645  0.2230  0.9088
Br  0.7770  0.0912  0.4355
Br  0.9088  0.5645  0.2230

=====

MgBi3Br: optimized geometry, GGA-PBE.

a = 5.7083 Å, b = 5.7083 Å, c = 5.7083 Å
α = 90.00°, β = 90.00°, γ = 90.00°
Atoms (fractional coordinates):
Mg  0.0000  0.0000  0.0000
Bi  0.0000  0.5000  0.5000
Bi  0.5000  0.0000  0.5000
Bi  0.5000  0.5000  0.0000
Br  0.5000  0.5000  0.5000

Output
The calculation puts the energy relative to the lowest polymorph listed for this composition at 332.1 meV per atom.

=====

MgBi3Br: optimized geometry, GGA-PBE.

a = 5.5606 Å, b = 5.5606 Å, c = 5.5606 Å
α = 90.00°, β = 90.00°, γ = 90.00°
Atoms (fractional coordinates):
Mg  0.0000  0.0000  0.0000
Bi  0.0000  0.0000  0.5000
Bi  0.0000  0.5000  0.0000
Bi  0.5000  0.0000  0.0000
Br  0.5000  0.5000  0.5000

Output
The calculation puts the energy relative to the lowest polymorph listed for this composition at 0.0 meV per atom.

=====

Mg2Bi2Br: optimized geometry, GGA-PBE.

a = 9.0540 Å, b = 9.0540 Å, c = 3.4313 Å
α = 90.00°, β = 90.00°, γ = 90.00°
Atoms (fractional coordinates):
Mg  0.1642  0.3358  0.0000
Mg  0.3358  0.8358  0.0000
Mg  0.6642  0.1642  0.0000
Mg  0.8358  0.6642  0.0000
Bi  0.1352  0.6352  0.5000
Bi  0.3648  0.1352  0.5000
Bi  0.6352  0.8648  0.5000
Bi  0.8648  0.3648  0.5000
Br  0.0000  0.0000  0.0000
Br  0.5000  0.5000  0.0000

=====

MgBi2Br: optimized geometry, GGA-PBE.

a = 5.4282 Å, b = 5.4282 Å, c = 5.4282 Å
α = 60.00°, β = 60.00°, γ = 60.00°
Atoms (fractional coordinates):
Mg  0.0000  0.0000  0.0000
Bi  0.2500  0.2500  0.2500
Bi  0.7500  0.7500  0.7500
Br  0.5000  0.5000  0.5000

Output
The calculation puts the energy relative to the lowest polymorph listed for this composition at 203.0 meV per atom.

=====

MgBi2Br: optimized geometry, GGA-PBE.

a = 12.7226 Å, b = 12.7226 Å, c = 12.7226 Å
α = 159.41°, β = 159.41°, γ = 29.28°
Atoms (fractional coordinates):
Mg  0.0000  0.0000  0.0000
Mg  0.7500  0.2500  0.5000
Bi  0.0898  0.6250  0.9648
Bi  0.3750  0.3398  0.4648
Bi  0.6602  0.1250  0.0352
Bi  0.8750  0.9102  0.5352
Br  0.2500  0.7500  0.5000
Br  0.5000  0.5000  0.0000

Output
The calculation puts the energy relative to the lowest polymorph listed for this composition at 0.0 meV per atom.

=====

MgBiBr3: optimized geometry, GGA-PBE.

a = 5.2353 Å, b = 5.2353 Å, c = 5.2353 Å
α = 90.00°, β = 90.00°, γ = 90.00°
Atoms (fractional coordinates):
Mg  0.0000  0.0000  0.0000
Bi  0.5000  0.5000  0.5000
Br  0.0000  0.0000  0.5000
Br  0.0000  0.5000  0.0000
Br  0.5000  0.0000  0.0000

Output
The calculation puts the energy relative to the lowest polymorph listed for this composition at 0.0 meV per atom.

=====

Mg2MnBiBr: optimized geometry, GGA-PBE.

a = 5.4261 Å, b = 5.4261 Å, c = 4.8965 Å
α = 90.00°, β = 90.00°, γ = 90.00°
Atoms (fractional coordinates):
Mg  0.0000  0.5000  0.0000
Mg  0.5000  0.0000  0.0000
Mn  0.0000  0.0000  0.0000
Bi  0.0000  0.0000  0.5000
Br  0.5000  0.5000  0.5000

=====

RbMgBiBr6: optimized geometry, GGA-PBE.

a = 7.2905 Å, b = 7.2905 Å, c = 7.6654 Å
α = 90.00°, β = 90.00°, γ = 120.00°
Atoms (fractional coordinates):
Rb  0.0000  0.0000  0.0000
Mg  0.3333  0.6667  0.5000
Bi  0.6667  0.3333  0.5000
Br  0.0188  0.3825  0.7095
Br  0.0188  0.6363  0.2905
Br  0.3637  0.3825  0.2905
Br  0.3637  0.9812  0.7095
Br  0.6175  0.6363  0.7095
Br  0.6175  0.9812  0.2905

=====

Rb2MgBiBr6: optimized geometry, GGA-PBE.

a = 8.0464 Å, b = 8.0464 Å, c = 8.0464 Å
α = 120.07°, β = 120.07°, γ = 89.88°
Atoms (fractional coordinates):
Rb  0.2500  0.7500  0.5000
Rb  0.7500  0.2500  0.5000
Mg  0.0000  0.0000  0.0000
Bi  0.5000  0.5000  0.0000
Br  0.2379  0.2379  0.0000
Br  0.2400  0.2400  0.4801
Br  0.2400  0.7600  0.0000
Br  0.7600  0.2400  0.0000
Br  0.7600  0.7600  0.5199
Br  0.7621  0.7621  0.0000

=====

Mg2BiSbBr: optimized geometry, GGA-PBE.

a = 5.1759 Å, b = 5.1759 Å, c = 5.8284 Å
α = 90.00°, β = 90.00°, γ = 90.00°
Atoms (fractional coordinates):
Mg  0.0000  0.5000  0.0000
Mg  0.5000  0.0000  0.0000
Bi  0.0000  0.0000  0.5000
Sb  0.5000  0.5000  0.5000
Br  0.5000  0.5000  0.0000

=====

Mg2SiBiBr: optimized geometry, GGA-PBE.

a = 5.1217 Å, b = 5.1217 Å, c = 5.5531 Å
α = 90.00°, β = 90.00°, γ = 90.00°
Atoms (fractional coordinates):
Mg  0.0000  0.5000  0.0000
Mg  0.5000  0.0000  0.0000
Si  0.0000  0.0000  0.0000
Bi  0.0000  0.0000  0.5000
Br  0.5000  0.5000  0.5000

=====

MgTlBiBr6: optimized geometry, GGA-PBE.

a = 7.2577 Å, b = 7.2577 Å, c = 14.5952 Å
α = 90.00°, β = 90.00°, γ = 120.00°
Atoms (fractional coordinates):
Mg  0.3333  0.6667  0.2500
Mg  0.6667  0.3333  0.7500
Tl  0.0000  0.0000  0.0000
Tl  0.0000  0.0000  0.5000
Bi  0.3333  0.6667  0.7500
Bi  0.6667  0.3333  0.2500
Br  0.0190  0.3786  0.1402
Br  0.0190  0.6404  0.3598
Br  0.3596  0.3786  0.3598
Br  0.3596  0.9810  0.1402
Br  0.3786  0.0190  0.6402
Br  0.3786  0.3596  0.8598
Br  0.6214  0.6404  0.1402
Br  0.6214  0.9810  0.3598
Br  0.6404  0.0190  0.8598
Br  0.6404  0.6214  0.6402
Br  0.9810  0.3596  0.6402
Br  0.9810  0.6214  0.8598

=====

no.,E_tot (eV per atom),total moment (μB per formula unit)
1,-3.07,0.00
2,-5.00,0.00
3,-5.01,0.00
4,-3.13,0.00
5,-2.98,0.00
6,-3.15,0.00
7,-2.25,0.89
8,-3.00,1.04
9,-3.83,0.00
10,-3.11,0.00
11,-3.10,0.00
12,-2.27,0.00
13,-2.60,0.00
14,-2.69,0.00
15,-2.73,0.00
16,-2.94,0.00
17,-2.68,0.00
18,-3.44,2.62
19,-3.06,0.00
20,-2.96,0.00
21,-2.27,0.00
22,-2.71,0.00
23,-3.01,0.00